The following is a DFT calculation (PBE+U) of Sr2AcCoO5 after structural relaxation.

a b c (Å): 6.833 6.833 7.528
angles (deg): 116.99 116.99 90.00
Each line ends with the local moment (μB).
Positions (direct):
Sr  0.171  0.329  0.000  0.01
Sr  0.671  0.171  0.000  0.01
Sr  0.329  0.829  0.000  0.01
Sr  0.829  0.671  0.000  0.01
Ac  0.250  0.250  0.500  0.00
Ac  0.750  0.750  0.500  0.00
Co  0.250  0.750  0.500  2.91
Co  0.750  0.250  0.500  2.91
O  0.000  0.500  0.301  0.20
O  0.699  0.199  0.699  0.20
O  0.000  0.500  0.699  0.20
O  0.199  0.000  0.699  0.20
O  0.500  0.699  0.699  0.20
O  0.801  0.000  0.301  0.20
O  0.500  0.301  0.301  0.20
O  0.301  0.801  0.301  0.20
O  0.500  0.500  0.000  0.03
O  0.000  0.000  0.000  0.03

Properties
Symmetry: I4/mcm (140)
Electronic total energy (eV per atom): -6.58